Here is an optimized crystal structure of TaVIO2 from the Alexandria database. Energies are from GGA+U.

a b c (Å): 3.9415 3.9415 5.5889
angles (deg): 90.00 90.00 90.00
With the nearest neighbours (Å) after each atom.
Space group P4/mmm (No. 123)
Unique sites:
Ta  0.0000  0.0000  0.0000  4 I 2.79
V  0.5000  0.5000  0.5000  4 O 1.97
I  0.5000  0.5000  0.0000  4 Ta 2.79, 2 V 2.79
O  0.0000  0.5000  0.5000  2 V 1.97

Results
Fermi-level density of states ... 3.812 states/eV per cell
Energy above the most stable polymorph in this dataset ... 2.921 eV/f.u.
Crystal system ... tetragonal